Computed, not measured: a relaxed V6OsW5 crystal at the PBE level of DFT.

a b c (Å): 7.5351 7.5351 7.5351
angles (deg): 146.57 131.86 59.87
With the nearest neighbours (Å) after each atom.
Element x y z (fractional)
V1 0.0835 0.3341 0.7494  1 Os 2.65, 7 W 2.65-2.68
V2 0.2491 0.0000 0.2491  2 Os 2.65, 6 W 2.65-2.67
V3 0.4153 0.6659 0.7494  1 Os 2.65, 7 W 2.65-2.68
V4 0.5847 0.3341 0.2506  1 Os 2.65, 7 W 2.65-2.68
V5 0.7509 0.0000 0.7509  2 Os 2.65, 6 W 2.65-2.67
V6 0.9165 0.6659 0.2506  1 Os 2.65, 7 W 2.65-2.68
Os1 0.0000 0.5000 0.5000  8 V 2.65
W1 0.1661 0.1661 0.0000  8 V 2.65-2.68
W2 0.3335 0.8335 0.5000  8 V 2.66-2.67
W3 0.5000 0.5000 0.0000  8 V 2.66
W4 0.6665 0.1665 0.5000  8 V 2.66-2.67
W5 0.8339 0.8339 0.0000  8 V 2.65-2.68

Computed properties:
Total moment, Bohr magnetons per cell: 0.00
E_form, meV per atom: -165
Electronic total energy, eV for the cell shown: -132.7
D(E_F), states/eV/f.u.: 6.38
Calculated volume, Å³ per cell: 174

***

Computed, not measured: a relaxed V4Os3W crystal at the PBE level of DFT.

a b c (Å): 3.0289 4.2971 8.5962
angles (deg): 90.00 90.00 90.00
With the nearest neighbours (Å) after each atom.
Element x y z (fractional)
V1 0.0000 0.0000 0.0000  4 W 2.63, 4 Os 2.65
V2 0.0000 0.0000 0.5000  8 Os 2.61-2.63
V3 0.0000 0.5000 0.2480  2 W 2.61, 6 Os 2.63-2.64
V4 0.0000 0.5000 0.7520  2 W 2.61, 6 Os 2.63-2.64
Os1 0.5000 0.0000 0.2534  8 V 2.61-2.65
Os2 0.5000 0.0000 0.7466  8 V 2.61-2.65
Os3 0.5000 0.5000 0.5000  8 V 2.63-2.64
W1 0.5000 0.5000 0.0000  8 V 2.61-2.63

Computed properties:
Total moment, Bohr magnetons per cell: 0.00
E_form, meV per atom: -255
Electronic total energy, eV for the cell shown: -85.2
D(E_F), states/eV/f.u.: 6.47
Calculated volume, Å³ per cell: 112

***

Computed, not measured: a relaxed V6Os5W crystal at the PBE level of DFT.

a b c (Å): 6.7844 6.7844 6.0526
angles (deg): 90.00 90.00 143.17
With the nearest neighbours (Å) after each atom.
Element x y z (fractional)
V1 0.0000 0.0000 0.2482  2 W 2.62, 6 Os 2.63-2.64
V2 0.0000 0.0000 0.7518  2 W 2.62, 6 Os 2.63-2.64
V3 0.3348 0.6652 0.2484  1 W 2.60, 7 Os 2.62-2.64
V4 0.3348 0.6652 0.7516  1 W 2.60, 7 Os 2.62-2.64
V5 0.6652 0.3348 0.2484  1 W 2.60, 7 Os 2.62-2.64
V6 0.6652 0.3348 0.7516  1 W 2.60, 7 Os 2.62-2.64
Os1 0.1672 0.8328 0.5000  8 V 2.63-2.64
Os2 0.1682 0.8318 0.0000  8 V 2.62-2.64
Os3 0.5000 0.5000 0.5000  8 V 2.62-2.63
Os4 0.8318 0.1682 0.0000  8 V 2.62-2.64
Os5 0.8328 0.1672 0.5000  8 V 2.63-2.64
W1 0.5000 0.5000 0.0000  8 V 2.60-2.62

Computed properties:
Total moment, Bohr magnetons per cell: 0.00
E_form, meV per atom: -252
Electronic total energy, eV for the cell shown: -126.8
D(E_F), states/eV/f.u.: 12.78
Calculated volume, Å³ per cell: 167

***

Computed, not measured: a relaxed V4Os2W crystal at the PBE level of DFT.

a b c (Å): 6.9933 6.9933 6.9933
angles (deg): 142.45 142.45 54.16
With the nearest neighbours (Å) after each atom.
Element x y z (fractional)
V1 0.0000 0.5000 0.5000  2 W 2.25
V2 0.2004 0.2004 0.0000  1 Os 2.33, 1 W 2.50
V3 0.5000 0.0000 0.5000  2 W 2.25
V4 0.7996 0.7996 0.0000  1 Os 2.33, 1 W 2.50
Os1 0.3875 0.3875 0.0000  1 V 2.33
Os2 0.6125 0.6125 0.0000  1 V 2.33
W1 0.0000 0.0000 0.0000  6 V 2.25-2.50

Computed properties:
Total moment, Bohr magnetons per cell: 3.07
E_form, meV per atom: 1262
Electronic total energy, eV for the cell shown: -63.1
D(E_F), states/eV/f.u.: 10.09
Calculated volume, Å³ per cell: 126

***

Computed, not measured: a relaxed V4Os2W3 crystal at the PBE level of DFT.

a b c (Å): 4.3344 4.3344 7.9879
angles (deg): 90.00 90.00 120.00
With the nearest neighbours (Å) after each atom.
Element x y z (fractional)
V1 0.0000 0.0000 0.1692  4 W 2.64-2.66, 3 Os 2.66, 1 V 2.70
V2 0.0000 0.0000 0.8308  4 W 2.64-2.66, 3 Os 2.66, 1 V 2.70
V3 0.3333 0.6667 0.3925  4 Os 2.60-2.66, 4 W 2.65-2.67
V4 0.6667 0.3333 0.6075  4 Os 2.60-2.66, 4 W 2.65-2.67
Os1 0.3333 0.6667 0.7186  7 V 2.60-2.66, 1 W 2.71
Os2 0.6667 0.3333 0.2814  7 V 2.60-2.66, 1 W 2.71
W1 0.0000 0.0000 0.5000  8 V 2.64-2.65
W2 0.3333 0.6667 0.0577  4 V 2.66-2.67, 3 W 2.67, 1 Os 2.71
W3 0.6667 0.3333 0.9423  4 V 2.66-2.67, 3 W 2.67, 1 Os 2.71

Computed properties:
Total moment, Bohr magnetons per cell: 0.00
E_form, meV per atom: -216
Electronic total energy, eV for the cell shown: -99.7
D(E_F), states/eV/f.u.: 3.76
Calculated volume, Å³ per cell: 130

***

Computed, not measured: a relaxed V5Os2W crystal at the PBE level of DFT.

a b c (Å): 6.7971 6.7971 6.7971
angles (deg): 143.38 143.38 52.75
With the nearest neighbours (Å) after each atom.
Element x y z (fractional)
V1 0.0000 0.0000 0.0000  8 V 2.62
V2 0.1240 0.6240 0.5000  2 W 2.62, 2 V 2.62, 4 Os 2.62-2.64
V3 0.3760 0.8760 0.5000  2 W 2.62, 2 V 2.62, 4 Os 2.62-2.64
V4 0.6240 0.1240 0.5000  2 W 2.62, 2 V 2.62, 4 Os 2.62-2.64
V5 0.8760 0.3760 0.5000  2 W 2.62, 2 V 2.62, 4 Os 2.62-2.64
Os1 0.2490 0.2490 0.0000  8 V 2.62-2.64
Os2 0.7510 0.7510 0.0000  8 V 2.62-2.64
W1 0.5000 0.5000 0.0000  8 V 2.62

Computed properties:
Total moment, Bohr magnetons per cell: 0.00
E_form, meV per atom: -279
Electronic total energy, eV for the cell shown: -83.2
D(E_F), states/eV/f.u.: 4.59
Calculated volume, Å³ per cell: 111